[1]
This record from Alexandria describes a relaxed structure of KSrW2. The functional is GGA-PBE.

Unit cell a=12.1715 b=12.1715 c=12.1715 alpha=13.89 beta=13.89 gamma=13.89
Closest atoms and distances in Å follow each position.
Positions (direct):
K1 0.0000 0.0000 0.0000  6 K 2.94
Sr1 0.5000 0.5000 0.5000  6 Sr 2.94
W1 0.2466 0.2466 0.2466  6 W 2.94
W2 0.7534 0.7534 0.7534  6 W 2.94

Calculated values
formation energy = 1596 meV/atom
DOS(E_F) = 4.99 states/eV/cell
theoretical density = 9.076 g/cm3
symmetry = R-3m, No. 166
energy above the most stable polymorph in this dataset = 0.766 eV per atom



[2]
This record from Alexandria describes a relaxed structure of Mg7C. The functional is GGA-PBE.

Unit cell a=6.0726 b=6.0726 c=6.0726 alpha=60.00 beta=60.00 gamma=60.00
Closest atoms and distances in Å follow each position.
Positions (direct):
Mg1 0.0000 0.0000 0.0000  12 Mg 3.04
Mg2 0.0000 0.0000 0.5000  10 Mg 3.04, 2 C 3.04
Mg3 0.0000 0.5000 0.0000  10 Mg 3.04, 2 C 3.04
Mg4 0.0000 0.5000 0.5000  10 Mg 3.04, 2 C 3.04
Mg5 0.5000 0.0000 0.0000  10 Mg 3.04, 2 C 3.04
Mg6 0.5000 0.0000 0.5000  10 Mg 3.04, 2 C 3.04
Mg7 0.5000 0.5000 0.0000  10 Mg 3.04, 2 C 3.04
C1 0.5000 0.5000 0.5000  12 Mg 3.04

Calculated values
formation energy = 567 meV/atom
DOS(E_F) = 6.12 states/eV/cell
theoretical density = 1.910 g/cm3
symmetry = Fm-3m, No. 225
energy above the most stable polymorph in this dataset = 0.023 eV per atom